No. 1
## U4SbTe5 (GGA-PBE)

Data for U4SbTe5 after structural relaxation.

Values from the calculation:
DOS(E_F)   2.051 states/eV/atom
E   -70.0 eV/f.u.
Space group   C2/m, No. 12

Unit cell a=9.616 b=9.616 c=9.004 alpha=102.18 beta=102.18 gamma=25.46
Element x y z (fractional)
U 0.005 0.005 0.254
U 0.331 0.331 0.913
U 0.669 0.669 0.087
U 0.995 0.995 0.746
Sb 0.500 0.500 0.000
Te 0.164 0.164 0.831
Te 0.171 0.171 0.331
Te 0.500 0.500 0.500
Te 0.829 0.829 0.669
Te 0.836 0.836 0.169

---

No. 2
## LaMn2NbSe (GGA-PBE)

Data for LaMn2NbSe after structural relaxation.

Values from the calculation:
DOS(E_F)   1.141 states/eV/atom
E   -33.5 eV/f.u.
Space group   P4/mmm, No. 123

Unit cell a=4.594 b=4.594 c=6.232 alpha=90.00 beta=90.00 gamma=90.00
Element x y z (fractional)
La 0.000 0.000 0.000
Mn 0.000 0.500 0.500
Mn 0.500 0.000 0.500
Nb 0.000 0.000 0.500
Se 0.500 0.500 0.000

---

No. 3
## PuGeH2O6 (GGA-PBE)

Data for PuGeH2O6 after structural relaxation.

Values from the calculation:
DOS(E_F)   0.397 states/eV/atom
E   -72.3 eV/f.u.
Space group   P-1, No. 2

Unit cell a=4.962 b=5.033 c=5.466 alpha=62.90 beta=89.67 gamma=64.87
Element x y z (fractional)
Pu 0.000 0.000 0.000
Ge 0.500 0.000 0.500
H 0.392 0.521 0.704
H 0.608 0.479 0.296
O 0.140 0.114 0.257
O 0.264 0.131 0.740
O 0.423 0.458 0.271
O 0.577 0.542 0.729
O 0.736 0.869 0.260
O 0.860 0.886 0.743

---

No. 4
## Y2AgP (GGA-PBE)

Data for Y2AgP after structural relaxation.

Values from the calculation:
Energy of formation   -0.805 eV/atom
DOS(E_F)   0.938 states/eV/atom
E   -24.4 eV/f.u.
Space group   Amm2, No. 38

Unit cell a=4.133 b=5.844 c=5.844 alpha=40.56 beta=90.00 gamma=90.00
Element x y z (fractional)
Y 0.000 0.000 0.000
Y 0.500 0.284 0.284
Ag 0.000 0.718 0.718
P 0.500 0.549 0.549

---

No. 5
## AcLa8Tc2 (GGA-PBE)

Data for AcLa8Tc2 after structural relaxation.

Values from the calculation:
Energy of formation   0.041 eV/atom
DOS(E_F)   1.334 states/eV/atom
E   -63.8 eV/f.u.
Space group   C2/m, No. 12

Unit cell a=8.737 b=8.737 c=6.588 alpha=93.07 beta=93.07 gamma=48.43
Element x y z (fractional)
Ac 0.000 0.000 0.000
La 0.110 0.629 0.593
La 0.219 0.219 0.886
La 0.371 0.890 0.407
La 0.420 0.420 0.163
La 0.580 0.580 0.837
La 0.629 0.110 0.593
La 0.781 0.781 0.114
La 0.890 0.371 0.407
Tc 0.274 0.274 0.332
Tc 0.726 0.726 0.668